## Pr2TlPb2 (PBE-GGA)

Data for a geometry-optimized Pr2TlPb2 structure.

POSCAR file:
```
Pr2TlPb2
1.0
-3.335 -0.871 -3.043
3.149 -2.043 -2.866
-2.676 -13.765 6.875
Pr Tl Pb
4 2 4
Cartesian
-0.939 -4.833 2.413 Pr
1.413 -10.976 1.595 Pr
1.176 -3.072 -0.409 Pr
-0.703 -12.737 4.418 Pr
0.237 -7.904 2.004 Tl
0.000 0.000 0.000 Tl
-2.127 -2.803 -0.339 Pb
-0.734 -13.877 1.305 Pb
-0.970 -5.973 -0.700 Pb
-1.891 -10.707 1.665 Pb
```

V	33.91	Å³/atom
ΔE to the lowest computed polymorph	104.3	meV/atom
crystal system	orthorhombic
energy of formation	-0.334	eV/atom
symmetry	Cmmm


## Pr2Tl3Pb (PBE-GGA)

Data for a geometry-optimized Pr2Tl3Pb structure.

POSCAR file:
```
Pr2Tl3Pb
1.0
-0.638 -0.074 -3.586
1.128 -5.227 -0.093
-8.864 -1.942 1.616
Pr Tl Pb
2 3 1
Cartesian
-8.297 -4.555 1.569 Pr
-4.430 -0.971 0.808 Pr
-7.691 -1.652 -0.449 Tl
-1.760 -0.353 -1.530 Tl
-5.702 -3.954 -0.755 Tl
-2.725 -3.301 -1.298 Pb
```

V	29.93	Å³/atom
crystal system	orthorhombic
energy of formation	-0.262	eV/atom
symmetry	Pmm2


## Pr4TlPb3 (PBE-GGA)

Data for a geometry-optimized Pr4TlPb3 structure.

POSCAR file:
```
Pr4TlPb3
1.0
5.724 0.000 -1.545
-0.417 5.709 -1.544
-0.886 -0.992 8.094
Pr Pb Tl
4 3 1
Cartesian
1.319 1.389 4.887 Pr
3.102 3.328 0.118 Pr
0.449 0.473 1.662 Pr
3.973 4.244 3.342 Pr
-0.208 2.855 -0.772 Pb
3.735 0.920 2.463 Pb
0.686 3.797 2.541 Pb
2.862 0.000 -0.773 Tl
```

V	30.91	Å³/atom
crystal system	monoclinic
energy of formation	-0.467	eV/atom
symmetry	C2/m